1.
An optimized crystal structure of Ba2CeTmSe6, computed with PBE-GGA.

Calculated values
crystal system	monoclinic
ΔE_f (raw)	-1.716	eV/atom
magnetization	0.00	μB/atom
raw total energy	-104.64	eV per cell

a b c (Å): 7.359 7.986 13.097
angles (deg): 90.00 123.74 90.00
Space group P2_1/c (No. 14)
One atom of each set of equivalent atoms:
Ba1 0.222 0.079 0.250
Ce1 0.500 0.000 0.000
Tm1 0.000 0.000 0.500
Se1 0.144 0.199 0.955
Se2 0.263 0.697 0.956
Se3 0.333 0.017 0.748



2.
An optimized crystal structure of BaCeUSe6, computed with PBE-GGA.

Calculated values
crystal system	trigonal
ΔE_f (raw)	-1.376	eV/atom
magnetization	0.00	μB/atom
raw total energy	-104.87	eV per cell

a b c (Å): 7.3318 7.3318 13.5188
angles (deg): 90.00 90.00 120.00
Space group P-31c (No. 163)
One atom of each set of equivalent atoms:
Ba1 0.0000 0.0000 0.0000
Ce1 0.3333 0.6667 0.2500
U1 0.3333 0.6667 0.7500
Se1 0.0165 0.3889 0.6342



3.
An optimized crystal structure of Ba2CeUSe6, computed with PBE-GGA.

Calculated values
crystal system	monoclinic
ΔE_f (raw)	-1.691	eV/atom
magnetization	0.20	μB/atom
raw total energy	-117.77	eV per cell

a b c (Å): 7.517 7.955 13.225
angles (deg): 90.00 124.44 90.00
Space group P2_1/c (No. 14)
One atom of each set of equivalent atoms:
Ba1 0.227 0.074 0.250
Ce1 0.500 0.000 0.000
U1 0.000 0.000 0.500
Se1 0.140 0.206 0.949
Se2 0.249 0.694 0.951
Se3 0.339 0.023 0.744



4.
An optimized crystal structure of BaCe2USe8, computed with PBE-GGA.

Calculated values
crystal system	triclinic
ΔE_f (raw)	-1.330	eV/atom
magnetization	0.03	μB/atom
raw total energy	-68.91	eV per cell

a b c (Å): 6.537 6.695 8.932
angles (deg): 90.04 90.15 90.36
Space group P-1 (No. 2)
One atom of each set of equivalent atoms:
Ba1 0.000 0.000 0.000
Ce1 0.499 0.500 0.750
U1 0.000 0.000 0.500
Se1 0.250 0.851 0.294
Se2 0.252 0.417 0.000
Se3 0.252 0.853 0.707
Se4 0.257 0.334 0.499



5.
An optimized crystal structure of Ba3Ce3YSe8, computed with PBE-GGA.

Calculated values
crystal system	trigonal
ΔE_f (raw)	-1.889	eV/atom
magnetization	0.25	μB/atom
raw total energy	-258.73	eV per cell

a b c (Å): 8.6550 8.6550 22.7229
angles (deg): 90.00 90.00 120.00
Space group R-3m (No. 166, hexagonal axes)
One atom of each set of equivalent atoms:
Ba1 0.0000 0.5000 0.0000
Ce1 0.0000 0.5000 0.5000
Y1 0.0000 0.0000 0.5000
Se1 0.0000 0.0000 0.2412
Se2 0.0078 0.5039 0.2380



6.
An optimized crystal structure of Ba2CeZnSe5, computed with PBE-GGA.

Calculated values
crystal system	orthorhombic
ΔE_f (raw)	-1.627	eV/atom
magnetization	0.00	μB/atom
raw total energy	-172.47	eV per cell

a b c (Å): 4.338 18.911 13.305
angles (deg): 90.00 90.00 90.00
Space group Cmc2_1 (No. 36)
One atom of each set of equivalent atoms:
Ba1 0.000 0.113 0.000
Ba2 0.000 0.122 0.635
Ce1 0.000 0.203 0.331
Zn1 0.000 0.441 0.748
Se1 0.000 0.051 0.348
Se2 0.000 0.294 0.973
Se3 0.000 0.308 0.684
Se4 0.000 0.350 0.320
Se5 0.000 0.500 0.087



7.
An optimized crystal structure of BaCeZnSe4, computed with PBE-GGA.

Calculated values
crystal system	monoclinic
ΔE_f (raw)	-1.436	eV/atom
magnetization	0.06	μB/atom
raw total energy	-66.23	eV per cell

a b c (Å): 7.060 6.445 8.994
angles (deg): 90.00 107.61 90.00
Space group P2_1/m (No. 11)
One atom of each set of equivalent atoms:
Ba1 0.245 0.250 0.440
Ce1 0.252 0.250 0.942
Zn1 0.259 0.750 0.178
Se1 0.062 0.750 0.907
Se2 0.068 0.750 0.361
Se3 0.480 0.516 0.777



8.
An optimized crystal structure of Ba3CeSm2Te6, computed with PBE-GGA.

Calculated values
crystal system	monoclinic
ΔE_f (raw)	-1.548	eV/atom
magnetization	0.12	μB/atom
raw total energy	-117.14	eV per cell

a b c (Å): 8.065 13.954 8.331
angles (deg): 90.00 108.80 90.00
Space group C2/m (No. 12)
One atom of each set of equivalent atoms:
Ba1 0.000 0.000 0.000
Ba2 0.000 0.334 0.000
Ce1 0.000 0.500 0.500
Sm1 0.000 0.167 0.500
Te1 0.238 0.000 0.722
Te2 0.242 0.332 0.723



9.
An optimized crystal structure of BaCeSn, computed with PBE-GGA.

Calculated values
formation enthalpy at 0 K	-0.200	eV/atom
crystal system	trigonal
magnetization	0.39	μB/atom
raw total energy	-12.46	eV per cell

a b c (Å): 5.4012 5.4012 4.1915
angles (deg): 90.00 90.00 120.00
Space group P3m1 (No. 156)
One atom of each set of equivalent atoms:
Ba1 0.0000 0.0000 0.0000
Ce1 0.3333 0.6667 0.3972
Sn1 0.6667 0.3333 0.6047



10.
An optimized crystal structure of BaCeSn, computed with PBE-GGA.

Calculated values
formation enthalpy at 0 K	-0.393	eV/atom
crystal system	triclinic
magnetization	0.30	μB/atom
raw total energy	-26.08	eV per cell

a b c (Å): 4.504 5.416 11.777
angles (deg): 80.09 89.82 65.46
Space group P-1 (No. 2)
One atom of each set of equivalent atoms:
Ba1 0.183 0.138 0.174
Ce1 0.137 0.226 0.546
Sn1 0.466 0.566 0.657



> Among the records above, which one has the lowest raw total energy?

Ba3Ce3YSe8



> Which value of raw total energy does entry 6 give?

-172.47 eV per cell



Copy entry 7 word for word.
An optimized crystal structure of BaCeZnSe4, computed with PBE-GGA.

Calculated values
crystal system	monoclinic
ΔE_f (raw)	-1.436	eV/atom
magnetization	0.06	μB/atom
raw total energy	-66.23	eV per cell

a b c (Å): 7.060 6.445 8.994
angles (deg): 90.00 107.61 90.00
Space group P2_1/m (No. 11)
One atom of each set of equivalent atoms:
Ba1 0.245 0.250 0.440
Ce1 0.252 0.250 0.942
Zn1 0.259 0.750 0.178
Se1 0.062 0.750 0.907
Se2 0.068 0.750 0.361
Se3 0.480 0.516 0.777



> The highest raw total energy belongs to which entry?

number 9